The following is a PBE calculation of a relaxed structure of La12CePm7, from Alexandria.

a b c (Å): 11.2357 11.2357 11.2357
angles (deg): 115.80 115.80 115.80
Fractional positions:
La  0.0894  0.3028  0.5171
La  0.2020  0.7511  0.2756
La  0.2489  0.7244  0.7980
La  0.2756  0.2020  0.7511
La  0.3028  0.5171  0.0894
La  0.4829  0.9106  0.6972
La  0.5171  0.0894  0.3028
La  0.6972  0.4829  0.9106
La  0.7244  0.7980  0.2489
La  0.7511  0.2756  0.2020
La  0.7980  0.2489  0.7244
La  0.9106  0.6972  0.4829
Ce  0.0000  0.0000  0.0000
Pm  0.0664  0.3644  0.2038
Pm  0.2038  0.0664  0.3644
Pm  0.3644  0.2038  0.0664
Pm  0.5000  0.5000  0.5000
Pm  0.6356  0.7962  0.9336
Pm  0.7962  0.9336  0.6356
Pm  0.9336  0.6356  0.7962

Summary:
E_tot, eV per cell: -93.3
Formation energy from the elements, eV/atom: 0.2494
Calculated volume, Å³/cell: 732.6